No. 1
# K3In2Pb9

A geometry-optimized K3In2Pb9 structure (PBE, Alexandria).

## Properties
D(E_F) in states/eV per atom: 0.46
Formation energy from the elements in meV/atom: -100
Space group: No. 71

extended XYZ file:
```
14
Lattice="5.181 0.000 1.392 2.127 9.313 2.420 0.132 -0.372 9.847" Properties=species:S:1:pos:R:3 pbc="T T T"
Pb 3.379 -0.221 8.100
Pb 5.442 3.707 10.760
Pb 4.061 9.163 5.559
Pb 1.999 5.235 2.899
Pb 4.828 6.815 2.704
Pb 1.134 1.035 6.119
Pb 6.307 7.906 7.540
Pb 1.130 4.471 6.134
Pb 2.612 2.126 10.955
K 0.000 0.000 0.000
K 4.346 2.556 4.500
K 3.094 6.386 9.159
In 4.035 6.001 5.656
In 3.405 2.940 8.003
```

No. 2
# MnAgAu

A geometry-optimized MnAgAu structure (PBE, Alexandria).

## Properties
D(E_F) in states/eV per atom: 0.68
Formation energy from the elements in meV/atom: 146
Energy relative to the lowest polymorph listed for this composition in eV/f.u.: 0.39
Space group: No. 129

extended XYZ file:
```
6
Lattice="2.808 0.000 0.000 0.000 2.808 0.000 0.000 0.000 11.855" Properties=species:S:1:pos:R:3 pbc="T T T"
Ag 1.404 0.000 4.834
Ag 0.000 1.404 7.021
Mn 1.404 0.000 0.583
Mn 0.000 1.404 11.273
Au 0.000 1.404 2.615
Au 1.404 0.000 9.241
```

No. 3
# Rb3BaCr

A geometry-optimized Rb3BaCr structure (PBE, Alexandria).

## Properties
D(E_F) in states/eV per atom: 1.12
Formation energy from the elements in meV/atom: 698
Energy relative to the lowest polymorph listed for this composition in eV/f.u.: 0.00
Space group: No. 221

extended XYZ file:
```
5
Lattice="-7.099 1.016 0.042 -0.504 -3.256 -6.369 -0.883 -6.308 3.295" Properties=species:S:1:pos:R:3 pbc="T T T"
Rb -0.252 -1.628 -3.185
Rb -0.442 -3.154 1.647
Rb -3.549 0.508 0.021
Ba -4.243 -4.274 -1.516
Cr 0.000 0.000 0.000
```

No. 4
# Ca5ZnO6

A geometry-optimized Ca5ZnO6 structure (PBE, Alexandria).

## Properties
Raw total energy in eV for the cell shown: -72.833
D(E_F) in states/eV per atom: 0.00
Space group: No. 12

extended XYZ file:
```
12
Lattice="5.818 0.155 0.000 1.786 5.550 0.000 0.893 2.775 5.057" Properties=species:S:1:pos:R:3 pbc="T T T"
O 5.709 4.255 3.410
O 5.753 4.319 0.000
O 2.787 4.225 1.648
O 3.680 7.000 3.410
O 1.850 1.386 0.000
O 4.816 1.480 1.648
Zn 0.000 0.000 0.000
Ca 4.695 5.628 1.656
Ca 1.786 5.550 3.366
Ca 3.802 2.853 0.000
Ca 0.893 2.775 1.692
Ca 3.802 2.853 3.401
```

No. 5
# Na2ReF6

A geometry-optimized Na2ReF6 structure (PBE, Alexandria).

## Properties
Raw total energy in eV for the cell shown: -96.699
D(E_F) in states/eV per atom: 0.00
Space group: No. 136

extended XYZ file:
```
18
Lattice="-4.317 -1.540 2.257 -0.094 -4.134 -3.001 5.492 -5.183 6.967" Properties=species:S:1:pos:R:3 pbc="T T T"
F -2.748 -2.766 2.305
F -0.071 -4.410 -1.030
F -3.198 -4.113 -0.539
F 1.152 -6.446 7.252
F 0.530 -7.217 3.985
F 0.552 -3.639 2.238
F -0.621 -4.715 4.558
F -1.062 -5.715 1.966
F 1.702 -6.142 1.665
F 2.143 -5.141 4.257
F -1.213 -1.561 -0.205
F 3.830 -8.091 3.918
Re 0.000 0.000 0.000
Re 0.541 -5.428 3.111
Na 2.387 -7.171 5.454
Na 1.847 -1.743 2.343
Na -1.306 -3.685 0.769
Na 3.645 -3.440 4.624
```

No. 6
# CrAgRu2

A geometry-optimized CrAgRu2 structure (PBE, Alexandria).

## Properties
D(E_F) in states/eV per atom: 1.24
Formation energy from the elements in meV/atom: 439
Energy relative to the lowest polymorph listed for this composition in eV/f.u.: 0.85
Space group: No. 8

extended XYZ file:
```
4
Lattice="4.751 -0.018 0.023 3.946 2.647 0.023 0.858 0.259 4.667" Properties=species:S:1:pos:R:3 pbc="T T T"
Ru 2.423 0.732 1.009
Ru 0.036 0.011 0.049
Ag 4.772 1.442 2.395
Cr 7.102 2.146 3.617
```

No. 7
# Pr2HoTm2

A geometry-optimized Pr2HoTm2 structure (PBE, Alexandria).

## Properties
D(E_F) in states/eV per atom: 1.34
Formation energy from the elements in meV/atom: 292
Energy relative to the lowest polymorph listed for this composition in eV/f.u.: 1.29
Space group: No. 15

extended XYZ file:
```
10
Lattice="-3.027 -0.469 -8.504 -2.104 -8.558 2.011 -2.081 4.430 3.590" Properties=species:S:1:pos:R:3 pbc="T T T"
Ho -2.682 -6.943 2.250
Ho -4.530 2.346 -5.152
Tm -3.844 -3.667 2.665
Tm -2.927 -4.795 -0.542
Tm -4.285 0.199 -2.360
Tm -3.368 -0.930 -5.568
Pr -2.581 -1.277 0.570
Pr -3.767 2.213 0.708
Pr -3.445 -6.809 -3.610
Pr -4.631 -3.319 -3.472
```

No. 8
# CrSiAu2

A geometry-optimized CrSiAu2 structure (PBE, Alexandria).

## Properties
Raw total energy in eV for the cell shown: -20.892
D(E_F) in states/eV per atom: 0.58
Space group: No. 10

extended XYZ file:
```
4
Lattice="-0.436 1.482 -3.873 -3.079 0.344 0.478 -0.847 4.983 2.002" Properties=species:S:1:pos:R:3 pbc="T T T"
Au -3.538 5.229 2.399
Au -2.350 2.762 1.322
Cr -1.199 2.073 -1.317
Si -3.162 4.737 -0.076
```